(1)
# La8InAg2 (GGA-PBE, optimized geometry)
# symmetry = C2/m, No. 12
data_La8InAg2
_chemical_formula_sum 'La8 In1 Ag2'
_symmetry_space_group_name_H-M 'P 1'
_symmetry_Int_Tables_number 1
_cell_length_a 8.667
_cell_length_b 8.667
_cell_length_c 5.675
_cell_angle_alpha 99.29
_cell_angle_beta 99.29
_cell_angle_gamma 116.49
loop_
_symmetry_equiv_pos_as_xyz
'x,y,z'
loop_
_atom_site_label
_atom_site_type_symbol
_atom_site_fract_x
_atom_site_fract_y
_atom_site_fract_z
_atom_site_occupancy
La1 La 0.080 0.299 0.583 1
La2 La 0.235 0.765 0.000 1
La3 La 0.299 0.080 0.583 1
La4 La 0.393 0.393 0.189 1
La5 La 0.607 0.607 0.811 1
La6 La 0.701 0.920 0.417 1
La7 La 0.765 0.235 0.000 1
La8 La 0.920 0.701 0.417 1
In1 In 0.000 0.000 0.000 1
Ag1 Ag 0.311 0.689 0.500 1
Ag2 Ag 0.689 0.311 0.500 1

(2)
# La8InAg2 (GGA-PBE, optimized geometry)
# symmetry = C2/m, No. 12
data_La8InAg2
_chemical_formula_sum 'La8 In1 Ag2'
_symmetry_space_group_name_H-M 'P 1'
_symmetry_Int_Tables_number 1
_cell_length_a 8.925
_cell_length_b 8.925
_cell_length_c 8.825
_cell_angle_alpha 118.10
_cell_angle_beta 118.10
_cell_angle_gamma 36.03
loop_
_symmetry_equiv_pos_as_xyz
'x,y,z'
loop_
_atom_site_label
_atom_site_type_symbol
_atom_site_fract_x
_atom_site_fract_y
_atom_site_fract_z
_atom_site_occupancy
La1 La 0.071 0.071 0.226 1
La2 La 0.142 0.142 0.704 1
La3 La 0.315 0.315 0.535 1
La4 La 0.403 0.403 0.047 1
La5 La 0.597 0.597 0.953 1
La6 La 0.685 0.685 0.465 1
La7 La 0.858 0.858 0.296 1
La8 La 0.929 0.929 0.774 1
In1 In 0.500 0.500 0.500 1
Ag1 Ag 0.225 0.225 0.117 1
Ag2 Ag 0.775 0.775 0.883 1

Here are the energies relative to the best structure, in meV/atom: (1) 60; (2) 0.

(1)
# La4InAg2 (GGA-PBE, optimized geometry)
# symmetry = R-3m, No. 166
data_La4InAg2
_chemical_formula_sum 'La4 In1 Ag2'
_symmetry_space_group_name_H-M 'P 1'
_symmetry_Int_Tables_number 1
_cell_length_a 9.799
_cell_length_b 9.799
_cell_length_c 9.799
_cell_angle_alpha 31.66
_cell_angle_beta 31.66
_cell_angle_gamma 31.66
loop_
_symmetry_equiv_pos_as_xyz
'x,y,z'
loop_
_atom_site_label
_atom_site_type_symbol
_atom_site_fract_x
_atom_site_fract_y
_atom_site_fract_z
_atom_site_occupancy
La1 La 0.122 0.122 0.122 1
La2 La 0.288 0.288 0.288 1
La3 La 0.712 0.712 0.712 1
La4 La 0.878 0.878 0.878 1
In1 In 0.500 0.500 0.500 1
Ag1 Ag 0.398 0.398 0.398 1
Ag2 Ag 0.602 0.602 0.602 1

(2)
# La4InAg2 (GGA-PBE, optimized geometry)
# symmetry = R-3m, No. 166
data_La4InAg2
_chemical_formula_sum 'La4 In1 Ag2'
_symmetry_space_group_name_H-M 'P 1'
_symmetry_Int_Tables_number 1
_cell_length_a 9.129
_cell_length_b 9.129
_cell_length_c 9.129
_cell_angle_alpha 34.43
_cell_angle_beta 34.43
_cell_angle_gamma 34.43
loop_
_symmetry_equiv_pos_as_xyz
'x,y,z'
loop_
_atom_site_label
_atom_site_type_symbol
_atom_site_fract_x
_atom_site_fract_y
_atom_site_fract_z
_atom_site_occupancy
La1 La 0.114 0.114 0.114 1
La2 La 0.369 0.369 0.369 1
La3 La 0.631 0.631 0.631 1
La4 La 0.886 0.886 0.886 1
In1 In 0.500 0.500 0.500 1
Ag1 Ag 0.241 0.241 0.241 1
Ag2 Ag 0.759 0.759 0.759 1

Here are the energies relative to the best structure, in meV/atom: (1) 91; (2) 0.

(1)
# La2In5Ag3 (GGA-PBE, optimized geometry)
# symmetry = Cmc2_1, No. 36
data_La2In5Ag3
_chemical_formula_sum 'La4 In10 Ag6'
_symmetry_space_group_name_H-M 'P 1'
_symmetry_Int_Tables_number 1
_cell_length_a 13.829
_cell_length_b 13.829
_cell_length_c 7.538
_cell_angle_alpha 90.00
_cell_angle_beta 90.00
_cell_angle_gamma 159.81
loop_
_symmetry_equiv_pos_as_xyz
'x,y,z'
loop_
_atom_site_label
_atom_site_type_symbol
_atom_site_fract_x
_atom_site_fract_y
_atom_site_fract_z
_atom_site_occupancy
La1 La 0.015 0.985 0.500 1
La2 La 0.327 0.673 0.475 1
La3 La 0.673 0.327 0.975 1
La4 La 0.985 0.015 0.000 1
In1 In 0.103 0.897 0.175 1
In2 In 0.205 0.795 0.675 1
In3 In 0.209 0.791 0.270 1
In4 In 0.379 0.621 0.995 1
In5 In 0.449 0.551 0.311 1
In6 In 0.551 0.449 0.811 1
In7 In 0.621 0.379 0.495 1
In8 In 0.791 0.209 0.770 1
In9 In 0.795 0.205 0.175 1
In10 In 0.897 0.103 0.675 1
Ag1 Ag 0.105 0.895 0.779 1
Ag2 Ag 0.274 0.726 0.970 1
Ag3 Ag 0.449 0.551 0.705 1
Ag4 Ag 0.551 0.449 0.205 1
Ag5 Ag 0.726 0.274 0.470 1
Ag6 Ag 0.895 0.105 0.279 1

(2)
# La2In5Ag3 (GGA-PBE, optimized geometry)
# symmetry = C2/c, No. 15
data_La2In5Ag3
_chemical_formula_sum 'La4 In10 Ag6'
_symmetry_space_group_name_H-M 'P 1'
_symmetry_Int_Tables_number 1
_cell_length_a 9.412
_cell_length_b 9.412
_cell_length_c 6.556
_cell_angle_alpha 110.27
_cell_angle_beta 110.27
_cell_angle_gamma 78.60
loop_
_symmetry_equiv_pos_as_xyz
'x,y,z'
loop_
_atom_site_label
_atom_site_type_symbol
_atom_site_fract_x
_atom_site_fract_y
_atom_site_fract_z
_atom_site_occupancy
La1 La 0.112 0.627 0.870 1
La2 La 0.373 0.888 0.630 1
La3 La 0.627 0.112 0.370 1
La4 La 0.888 0.373 0.130 1
In1 In 0.000 0.000 0.250 1
In2 In 0.000 0.000 0.750 1
In3 In 0.242 0.538 0.390 1
In4 In 0.258 0.259 0.008 1
In5 In 0.259 0.258 0.508 1
In6 In 0.462 0.758 0.110 1
In7 In 0.538 0.242 0.890 1
In8 In 0.741 0.742 0.492 1
In9 In 0.742 0.741 0.992 1
In10 In 0.758 0.462 0.610 1
Ag1 Ag 0.000 0.259 0.629 1
Ag2 Ag 0.000 0.741 0.371 1
Ag3 Ag 0.259 0.000 0.129 1
Ag4 Ag 0.500 0.500 0.250 1
Ag5 Ag 0.500 0.500 0.750 1
Ag6 Ag 0.741 0.000 0.871 1

Here are the energies relative to the best structure, in meV/atom: (1) 0; (2) 15.

(1)
# LaSmInAg (GGA-PBE, optimized geometry)
# symmetry = P4mm, No. 99
data_LaSmInAg
_chemical_formula_sum 'La1 Sm1 In1 Ag1'
_symmetry_space_group_name_H-M 'P 1'
_symmetry_Int_Tables_number 1
_cell_length_a 3.745
_cell_length_b 3.745
_cell_length_c 8.030
_cell_angle_alpha 90.00
_cell_angle_beta 90.00
_cell_angle_gamma 90.00
loop_
_symmetry_equiv_pos_as_xyz
'x,y,z'
loop_
_atom_site_label
_atom_site_type_symbol
_atom_site_fract_x
_atom_site_fract_y
_atom_site_fract_z
_atom_site_occupancy
La1 La 0.000 0.000 0.000 1
Sm1 Sm 0.000 0.000 0.521 1
In1 In 0.500 0.500 0.269 1
Ag1 Ag 0.500 0.500 0.738 1

(2)
# LaSmInAg (GGA-PBE, optimized geometry)
# symmetry = F-43m, No. 216
data_LaSmInAg
_chemical_formula_sum 'La1 Sm1 In1 Ag1'
_symmetry_space_group_name_H-M 'P 1'
_symmetry_Int_Tables_number 1
_cell_length_a 5.445
_cell_length_b 5.445
_cell_length_c 5.445
_cell_angle_alpha 60.00
_cell_angle_beta 60.00
_cell_angle_gamma 60.00
loop_
_symmetry_equiv_pos_as_xyz
'x,y,z'
loop_
_atom_site_label
_atom_site_type_symbol
_atom_site_fract_x
_atom_site_fract_y
_atom_site_fract_z
_atom_site_occupancy
La1 La 0.000 0.000 0.000 1
Sm1 Sm 0.500 0.500 0.500 1
In1 In 0.250 0.250 0.250 1
Ag1 Ag 0.750 0.750 0.750 1

Here are the energies relative to the best structure, in meV/atom: (1) 0; (2) 14.

(1)
# Li2In2Ag (GGA-PBE, optimized geometry)
# symmetry = P4/mbm, No. 127
data_Li2In2Ag
_chemical_formula_sum 'Li4 In4 Ag2'
_symmetry_space_group_name_H-M 'P 1'
_symmetry_Int_Tables_number 1
_cell_length_a 7.255
_cell_length_b 7.255
_cell_length_c 3.638
_cell_angle_alpha 90.00
_cell_angle_beta 90.00
_cell_angle_gamma 90.00
loop_
_symmetry_equiv_pos_as_xyz
'x,y,z'
loop_
_atom_site_label
_atom_site_type_symbol
_atom_site_fract_x
_atom_site_fract_y
_atom_site_fract_z
_atom_site_occupancy
Li1 Li 0.139 0.361 0.000 1
Li2 Li 0.361 0.861 0.000 1
Li3 Li 0.639 0.139 0.000 1
Li4 Li 0.861 0.639 0.000 1
In1 In 0.161 0.661 0.500 1
In2 In 0.339 0.161 0.500 1
In3 In 0.661 0.839 0.500 1
In4 In 0.839 0.339 0.500 1
Ag1 Ag 0.000 0.000 0.000 1
Ag2 Ag 0.500 0.500 0.000 1

(2)
# Li2In2Ag (GGA-PBE, optimized geometry)
# symmetry = P4/mbm, No. 127
data_Li2In2Ag
_chemical_formula_sum 'Li4 In4 Ag2'
_symmetry_space_group_name_H-M 'P 1'
_symmetry_Int_Tables_number 1
_cell_length_a 7.622
_cell_length_b 7.622
_cell_length_c 3.399
_cell_angle_alpha 90.00
_cell_angle_beta 90.00
_cell_angle_gamma 90.00
loop_
_symmetry_equiv_pos_as_xyz
'x,y,z'
loop_
_atom_site_label
_atom_site_type_symbol
_atom_site_fract_x
_atom_site_fract_y
_atom_site_fract_z
_atom_site_occupancy
Li1 Li 0.157 0.343 0.000 1
Li2 Li 0.343 0.843 0.000 1
Li3 Li 0.657 0.157 0.000 1
Li4 Li 0.843 0.657 0.000 1
In1 In 0.144 0.644 0.500 1
In2 In 0.356 0.144 0.500 1
In3 In 0.644 0.856 0.500 1
In4 In 0.856 0.356 0.500 1
Ag1 Ag 0.000 0.000 0.500 1
Ag2 Ag 0.500 0.500 0.500 1

Here are the energies relative to the best structure, in meV/atom: (1) 22; (2) 0.